Density functional theory data (PBE-GGA) for a relaxed structure of Ca10Mg3Tl3.

a = 6.7335 Å, b = 9.6690 Å, c = 9.6690 Å
α = 120.00°, β = 90.00°, γ = 90.00°
Element x y z (fractional)
Ca: 0.5000 0.7492 0.0000
Ca: 0.5000 0.2507 0.2507
Mg: 0.5000 0.5968 0.5968
Ca: 0.7588 0.3333 0.6667
Mg: 0.5000 0.4032 0.0000
Tl: 0.0000 0.3905 0.3905
Ca: 0.0000 0.2583 0.0000
Mg: 0.5000 0.0000 0.4032
Tl: 0.0000 0.6095 0.0000
Ca: 0.7588 0.6667 0.3333
Ca: 0.0000 0.0000 0.2583
Ca: 0.2412 0.6667 0.3333
Ca: 0.0000 0.7417 0.7417
Tl: 0.0000 0.0000 0.6095
Ca: 0.2412 0.3333 0.6667
Ca: 0.5000 0.0000 0.7492

* crystal system: hexagonal
* size of the total moment: 0.0 μB/cell
* energy of formation from the pure elements: -0.18 eV/atom


Density functional theory data (PBE-GGA) for a relaxed structure of PrMgGeF.

a = 4.1704 Å, b = 4.1704 Å, c = 9.1288 Å
α = 90.00°, β = 90.00°, γ = 90.00°
Element x y z (fractional)
Mg: 0.0000 0.0000 0.5000
Ge: 0.0000 0.5000 0.3040
F: 0.5000 0.5000 0.0000
Pr: 0.0000 0.5000 0.8313
Pr: 0.5000 0.0000 0.1687
F: 0.0000 0.0000 0.0000
Ge: 0.5000 0.0000 0.6960
Mg: 0.5000 0.5000 0.5000

* crystal system: tetragonal
* size of the total moment: 0.0 μB/cell
* formation energy (no corrections): -164 kJ per mole of atoms


Density functional theory data (PBE-GGA) for a relaxed structure of AsRu2W.

a = 2.9091 Å, b = 2.9091 Å, c = 6.8916 Å
α = 90.00°, β = 90.00°, γ = 90.00°
Element x y z (fractional)
Ru: 0.0000 0.0000 0.9770
Ru: 0.0000 0.0000 0.5230
W: 0.5000 0.5000 0.2500
As: 0.5000 0.5000 0.7500

* crystal system: tetragonal
* size of the total moment: 0.0 μB/cell
* energy of formation from the pure elements: -0.04 eV/atom


Density functional theory data (PBE-GGA) for a relaxed structure of YCl.

a = 3.5166 Å, b = 3.5166 Å, c = 4.3054 Å
α = 90.00°, β = 90.00°, γ = 120.00°
Element x y z (fractional)
Y: 0.3333 0.6667 0.0000
Cl: 0.6667 0.3333 0.5000

* crystal system: hexagonal
* size of the total moment: 0.0 μB/cell
* formation energy (no corrections): -124 kJ per mole of atoms


Density functional theory data (PBE-GGA) for a relaxed structure of SrLi12Ga4.

a = 7.8716 Å, b = 7.8716 Å, c = 7.8716 Å
α = 109.47°, β = 109.47°, γ = 109.47°
Element x y z (fractional)
Li: 0.8323 0.3533 0.1856
Ga: 0.5000 0.5000 0.5000
Li: 0.1677 0.6467 0.8144
Li: 0.1856 0.8323 0.3533
Li: 0.3533 0.5210 0.1677
Li: 0.4790 0.8323 0.6467
Li: 0.6467 0.8144 0.1677
Ga: 0.0000 0.5000 0.0000
Ga: 0.0000 0.0000 0.5000
Sr: 0.0000 0.0000 0.0000
Li: 0.8323 0.6467 0.4790
Ga: 0.5000 0.0000 0.0000
Li: 0.1677 0.3533 0.5210
Li: 0.8144 0.1677 0.6467
Li: 0.3533 0.1856 0.8323
Li: 0.5210 0.1677 0.3533
Li: 0.6467 0.4790 0.8323

* crystal system: cubic
* size of the total moment: 0.0 μB/cell
* energy of formation from the pure elements: 0.04 eV/atom


Density functional theory data (PBE-GGA) for a relaxed structure of BeCu2Os.

a = 4.5892 Å, b = 4.5892 Å, c = 2.5434 Å
α = 90.00°, β = 90.00°, γ = 115.86°
Element x y z (fractional)
Cu: 0.5000 0.5000 0.0000
Os: 0.5000 0.0000 0.5000
Cu: 0.0000 0.0000 0.0000
Be: 0.0000 0.5000 0.5000

* crystal system: orthorhombic
* size of the total moment: 0.0 μB/cell
* energy of formation from the pure elements: 0.18 eV/atom


Density functional theory data (PBE-GGA) for a relaxed structure of NaIn6Rh5.

a = 4.6959 Å, b = 6.3387 Å, c = 7.3744 Å
α = 90.00°, β = 105.68°, γ = 90.00°
Element x y z (fractional)
In: 0.8224 0.7459 0.6532
Rh: 0.6647 0.0000 0.3198
Rh: 0.3326 0.5000 0.6770
In: 0.5000 0.2588 0.0000
Na: 0.0000 0.0000 0.0000
In: 0.5000 0.7412 0.0000
Rh: 0.6674 0.5000 0.3230
In: 0.1776 0.2541 0.3468
Rh: 0.0000 0.5000 0.0000
In: 0.1776 0.7459 0.3468
Rh: 0.3353 0.0000 0.6802
In: 0.8224 0.2541 0.6532

* crystal system: monoclinic
* size of the total moment: 0.0 μB/cell
* energy of formation from the pure elements: -0.31 eV/atom


Density functional theory data (PBE-GGA) for a relaxed structure of LuZrScPa.

a = 5.2207 Å, b = 5.2207 Å, c = 5.2207 Å
α = 60.00°, β = 60.00°, γ = 60.00°
Element x y z (fractional)
Pa: 0.2500 0.2500 0.2500
Zr: 0.5000 0.5000 0.5000
Sc: 0.0000 0.0000 0.0000
Lu: 0.7500 0.7500 0.7500

* crystal system: cubic
* size of the total moment: 0.0 μB/cell
* energy of formation from the pure elements: 0.20 eV/atom


Density functional theory data (PBE-GGA) for a relaxed structure of NdDy2Tm.

a = 3.5611 Å, b = 3.5611 Å, c = 10.0947 Å
α = 90.00°, β = 90.00°, γ = 90.00°
Element x y z (fractional)
Nd: 0.5000 0.5000 0.5000
Dy: 0.0000 0.0000 0.2438
Dy: 0.0000 0.0000 0.7562
Tm: 0.5000 0.5000 0.0000

* crystal system: tetragonal
* energy above the most stable polymorph in this dataset: 0.0050 eV per atom
* size of the total moment: 0.0 μB/cell
* energy of formation from the pure elements: 0.02 eV/atom


Density functional theory data (PBE-GGA) for a relaxed structure of TbTmSc2S6.

a = 6.6848 Å, b = 6.6848 Å, c = 7.1042 Å
α = 61.94°, β = 61.93°, γ = 60.00°
Element x y z (fractional)
S: 0.3960 0.7350 0.7442
S: 0.6331 0.2336 0.2456
S: 0.7350 0.1247 0.7442
Tm: 0.8148 0.8148 0.5556
S: 0.1248 0.3961 0.7442
Tb: 0.3119 0.3119 0.0642
S: 0.8878 0.6331 0.2456
S: 0.2335 0.8877 0.2456
Sc: 0.0130 0.0131 0.9609
Sc: 0.5117 0.5116 0.4651

* crystal system: trigonal
* size of the total moment: 0.0 μB/cell
* formation energy (no corrections): -189 kJ per mole of atoms


Density functional theory data (PBE-GGA) for a relaxed structure of Ta4Mo.

a = 5.4517 Å, b = 5.4517 Å, c = 5.4517 Å
α = 50.41°, β = 50.41°, γ = 50.41°
Element x y z (fractional)
Ta: 0.6029 0.6029 0.6029
Mo: 0.0000 0.0000 0.0000
Ta: 0.1943 0.1943 0.1943
Ta: 0.3971 0.3971 0.3971
Ta: 0.8057 0.8057 0.8057

* crystal system: trigonal
* energy above the most stable polymorph in this dataset: 0.0130 eV per atom
* size of the total moment: 0.0 μB/cell
* energy of formation from the pure elements: -0.08 eV/atom


Density functional theory data (PBE-GGA) for a relaxed structure of SmB4Ru4.

a = 5.3902 Å, b = 5.3902 Å, c = 7.4015 Å
α = 90.00°, β = 90.00°, γ = 90.00°
Element x y z (fractional)
Ru: 0.2447 0.0000 0.6378
B: 0.6719 0.0000 0.3488
Ru: 0.5000 0.7447 0.1378
Ru: 0.7553 0.0000 0.6378
Ru: 0.5000 0.2553 0.1378
Ru: 0.0000 0.2447 0.3622
Ru: 0.2553 0.5000 0.8622
Ru: 0.7447 0.5000 0.8622
B: 0.1719 0.5000 0.1512
B: 0.0000 0.3281 0.6512
B: 0.5000 0.1719 0.8488
B: 0.0000 0.6719 0.6512
B: 0.3281 0.0000 0.3488
Sm: 0.0000 0.0000 0.0000
B: 0.8281 0.5000 0.1512
Ru: 0.0000 0.7553 0.3622
Sm: 0.5000 0.5000 0.5000
B: 0.5000 0.8281 0.8488

* crystal system: tetragonal
* energy above the most stable polymorph in this dataset: 0.0446 eV per atom
* size of the total moment: 0.0 μB/cell
* energy of formation from the pure elements: -0.43 eV/atom


Density functional theory data (PBE-GGA) for a relaxed structure of RbAc4Bi3O12.

a = 7.9692 Å, b = 7.9692 Å, c = 7.9692 Å
α = 109.47°, β = 109.47°, γ = 109.47°
Element x y z (fractional)
O: 0.8461 0.6757 0.1705
Ac: 0.0000 0.0000 0.5000
Ac: 0.5000 0.0000 0.0000
O: 0.4948 0.3243 0.1705
Bi: 0.5000 0.0000 0.5000
O: 0.6757 0.1705 0.8461
O: 0.6757 0.8295 0.5052
O: 0.8295 0.5052 0.6757
O: 0.5052 0.6757 0.8295
O: 0.8295 0.1539 0.3243
O: 0.1539 0.3243 0.8295
O: 0.1705 0.8461 0.6757
Rb: 0.0000 0.0000 0.0000
Bi: 0.5000 0.5000 0.0000
O: 0.1705 0.4948 0.3243
O: 0.3243 0.1705 0.4948
Ac: 0.0000 0.5000 0.0000
O: 0.3243 0.8295 0.1539
Ac: 0.5000 0.5000 0.5000
Bi: 0.0000 0.5000 0.5000

* crystal system: cubic
* size of the total moment: 2.1 μB/cell
* formation energy (no corrections): -203 kJ per mole of atoms


Density functional theory data (PBE-GGA) for a relaxed structure of PmPaRu4.

a = 5.3604 Å, b = 5.3604 Å, c = 5.3604 Å
α = 60.00°, β = 60.00°, γ = 60.00°
Element x y z (fractional)
Pm: 0.2500 0.2500 0.2500
Ru: 0.6251 0.6251 0.6251
Pa: 0.0000 0.0000 0.0000
Ru: 0.6251 0.1248 0.6251
Ru: 0.1248 0.6251 0.6251
Ru: 0.6251 0.6251 0.1248

* crystal system: cubic
* size of the total moment: 0.0 μB/cell
* energy of formation from the pure elements: -0.23 eV/atom


Density functional theory data (PBE-GGA) for a relaxed structure of Er2PaIO8.

a = 5.0565 Å, b = 5.0557 Å, c = 6.9439 Å
α = 90.00°, β = 90.00°, γ = 91.83°
Element x y z (fractional)
O: 0.6984 0.7001 0.5000
I: 0.0000 0.0000 0.0000
Pa: 0.0000 0.0000 0.5000
O: 0.8142 0.1874 0.2421
O: 0.1858 0.8126 0.7579
O: 0.3016 0.2999 0.5000
Er: 0.5000 0.5000 0.2451
O: 0.8143 0.1874 0.7579
O: 0.2939 0.2922 0.0000
Er: 0.5000 0.5000 0.7549
O: 0.1857 0.8126 0.2421
O: 0.7061 0.7078 0.0000

* crystal system: monoclinic
* size of the total moment: 0.0 μB/cell
* formation energy (no corrections): -253 kJ per mole of atoms


Density functional theory data (PBE-GGA) for a relaxed structure of CsHfCSe2.

a = 5.4437 Å, b = 4.2369 Å, c = 5.4437 Å
α = 90.00°, β = 90.00°, γ = 90.00°
Element x y z (fractional)
Se: 0.0000 0.0000 0.5000
Cs: 0.5000 0.5000 0.5000
C: 0.0000 0.0000 0.0000
Hf: 0.0000 0.5000 0.0000
Se: 0.5000 0.0000 0.0000

* crystal system: tetragonal
* size of the total moment: 0.0 μB/cell
* formation energy (no corrections): 45 kJ per mole of atoms


Density functional theory data (PBE-GGA) for a relaxed structure of Ca2ZrTaAl.

a = 5.7319 Å, b = 4.9632 Å, c = 5.7319 Å
α = 90.00°, β = 90.00°, γ = 90.00°
Element x y z (fractional)
Ca: 0.5000 0.0000 0.0000
Al: 0.5000 0.5000 0.5000
Ta: 0.0000 0.5000 0.0000
Ca: 0.0000 0.0000 0.5000
Zr: 0.0000 0.0000 0.0000

* crystal system: tetragonal
* size of the total moment: 0.0 μB/cell
* energy of formation from the pure elements: 1.29 eV/atom


Density functional theory data (PBE-GGA) for a relaxed structure of Dy3Re2B9.

a = 3.1319 Å, b = 7.9366 Å, c = 7.9366 Å
α = 61.57°, β = 78.62°, γ = 78.62°
Element x y z (fractional)
B: 0.3623 0.9615 0.3138
Dy: 0.0000 0.0000 0.0000
Dy: 0.2682 0.7318 0.7318
B: 0.1276 0.6210 0.1238
Re: 0.5000 0.3242 0.6758
B: 0.6377 0.6862 0.0385
Re: 0.5000 0.6758 0.3242
Dy: 0.7318 0.2682 0.2682
B: 0.8724 0.8762 0.3790
B: 0.8724 0.3790 0.8762
B: 0.3623 0.3138 0.9615
B: 0.1276 0.1238 0.6210
B: 0.0000 0.5000 0.5000
B: 0.6377 0.0385 0.6862

* crystal system: orthorhombic
* size of the total moment: 0.0 μB/cell
* energy of formation from the pure elements: -0.24 eV/atom


Density functional theory data (PBE-GGA) for a relaxed structure of Tb3Tl4Te8As.

a = 8.8664 Å, b = 9.6073 Å, c = 8.8665 Å
α = 117.50°, β = 120.00°, γ = 90.00°
Element x y z (fractional)
Tl: 0.0000 0.0000 0.5000
Te: 0.2286 0.7065 0.9780
As: 0.0000 0.5000 0.0000
Tb: 0.0000 0.5000 0.5000
Te: 0.2286 0.7065 0.4573
Te: 0.7714 0.2935 0.5427
Te: 0.2506 0.2935 0.0220
Te: 0.2612 0.2836 0.5224
Tl: 0.5000 0.0000 0.0000
Te: 0.7714 0.2935 0.0220
Tb: 0.5000 0.5000 0.0000
Tb: 0.5000 0.5000 0.5000
Tl: 0.5000 0.0000 0.5000
Te: 0.7494 0.7065 0.9780
Te: 0.7388 0.7164 0.4776
Tl: 0.0000 0.0000 0.0000

* crystal system: trigonal
* size of the total moment: 0.0 μB/cell
* formation energy (no corrections): -78 kJ per mole of atoms


Density functional theory data (PBE-GGA) for a relaxed structure of Tl3SbPb3.

a = 6.9796 Å, b = 6.9796 Å, c = 11.8580 Å
α = 72.88°, β = 72.88°, γ = 60.00°
Element x y z (fractional)
Sb: 0.7060 0.7060 0.8820
Tl: 0.3716 0.8790 0.3777
Pb: 0.2082 0.2082 0.8742
Sb: 0.2940 0.2940 0.1180
Tl: 0.6284 0.1210 0.6223
Tl: 0.6283 0.6284 0.6223
Pb: 0.2082 0.7094 0.8742
Pb: 0.7094 0.2082 0.8742
Pb: 0.7918 0.7918 0.1258
Pb: 0.7918 0.2906 0.1258
Tl: 0.8790 0.3717 0.3777
Tl: 0.1210 0.6283 0.6223
Tl: 0.3717 0.3716 0.3777
Pb: 0.2906 0.7918 0.1258

* crystal system: trigonal
* energy above the most stable polymorph in this dataset: 0.0000 eV per atom
* size of the total moment: 0.0 μB/cell
* formation energy (no corrections): 6 kJ per mole of atoms